Entry A
A relaxed structure of HfBTeI2. Source: the Alexandria database, functional PBE-GGA.

Properties
**Total magnetization**: 0.8 Bohr magnetons per cell

Cell lengths 5.7158, 5.7158, 5.5671 Å; angles 90.00, 90.00, 90.00 degrees
Last column: nearest neighbours and their distance in Å.
Space group P4/mmm (No. 123)
Symmetry-distinct sites (fractional):
Hf1 0.0000 0.0000 0.0000 [1 per cell]  2 Te 2.78, 4 I 2.86
B1 0.5000 0.5000 0.5000 [1 per cell]  8 I 3.99, 4 Te 4.04
Te1 0.0000 0.0000 0.5000 [1 per cell]  2 Hf 2.78
I1 0.0000 0.5000 0.0000 [2 per cell]  2 Hf 2.86


Entry B
A relaxed structure of HfBTeI2. Source: the Alexandria database, functional PBE-GGA.

Properties
**Total magnetization**: 0.0 Bohr magnetons per cell

Cell lengths 4.9784, 4.9784, 4.8955 Å; angles 90.00, 90.00, 90.00 degrees
Last column: nearest neighbours and their distance in Å.
Space group P4/mmm (No. 123)
Symmetry-distinct sites (fractional):
Hf1 0.0000 0.0000 0.0000 [1 per cell]  8 I 3.49, 4 Te 3.52
B1 0.5000 0.5000 0.5000 [1 per cell]  2 Te 2.45, 4 I 2.49
Te1 0.5000 0.5000 0.0000 [1 per cell]  2 B 2.45
I1 0.0000 0.5000 0.5000 [2 per cell]  2 B 2.49


Which of them is most stable? Easy: entry A.


Entry A
A relaxed structure of HfInB3. Source: the Alexandria database, functional PBE-GGA.

Properties
**Total magnetization**: 0.0 Bohr magnetons per cell

Cell lengths 4.4826, 4.4826, 4.4826 Å; angles 90.00, 90.00, 90.00 degrees
Last column: nearest neighbours and their distance in Å.
Space group Pm-3m (No. 221)
Symmetry-distinct sites (fractional):
Hf1 0.0000 0.0000 0.0000 [1 per cell]  6 B 2.24
In1 0.5000 0.5000 0.5000 [1 per cell]  12 B 3.17
B1 0.0000 0.0000 0.5000 [3 per cell]  2 Hf 2.24


Entry B
A relaxed structure of HfInB3. Source: the Alexandria database, functional PBE-GGA.

Properties
**Total magnetization**: 0.0 Bohr magnetons per cell

Cell lengths 4.3026, 4.3026, 4.3026 Å; angles 90.00, 90.00, 90.00 degrees
Last column: nearest neighbours and their distance in Å.
Space group Pm-3m (No. 221)
Symmetry-distinct sites (fractional):
Hf1 0.0000 0.0000 0.0000 [1 per cell]  12 B 3.04
In1 0.5000 0.5000 0.5000 [1 per cell]  6 B 2.15
B1 0.0000 0.5000 0.5000 [3 per cell]  2 In 2.15


Which of them is most stable? Easy: entry A.


Entry A
A relaxed structure of Hf2InB. Source: the Alexandria database, functional PBE-GGA.

Properties
**Total magnetization**: 0.0 Bohr magnetons per cell

Cell lengths 3.4164, 3.4164, 22.7158 Å; angles 90.00, 90.00, 120.00 degrees
Last column: nearest neighbours and their distance in Å.
Space group R-3m (No. 166, hexagonal axes)
Symmetry-distinct sites (fractional):
Hf1 0.0000 0.0000 0.2227 [6 per cell]  3 B 2.35
In1 0.0000 0.0000 0.0000 [3 per cell]  6 Hf 3.20, 6 In 3.42
B1 0.0000 0.0000 0.5000 [3 per cell]  6 Hf 2.35


Entry B
A relaxed structure of Hf2InB. Source: the Alexandria database, functional PBE-GGA.

Properties
**Total magnetization**: 0.0 Bohr magnetons per cell

Cell lengths 3.8654, 4.5586, 8.0183 Å; angles 90.00, 90.00, 90.00 degrees
Last column: nearest neighbours and their distance in Å.
Space group Cmmm (No. 65)
Symmetry-distinct sites (fractional):
Hf1 0.0000 0.0000 0.1902 [4 per cell]  4 B 2.46-2.74
In1 0.0000 0.5000 0.5000 [2 per cell]  4 In 2.99, 4 Hf 3.15
B1 0.0000 0.5000 0.0000 [2 per cell]  8 Hf 2.46-2.74


Which of them is most stable? Easy: entry A.


Entry A
A relaxed structure of HfBIr. Source: the Alexandria database, functional PBE-GGA.

Properties
**Total magnetization**: 0.0 Bohr magnetons per cell

Cell lengths 3.6216, 14.2939, 3.1224 Å; angles 90.00, 90.00, 90.00 degrees
Last column: nearest neighbours and their distance in Å.
Space group Cmcm (No. 63)
Symmetry-distinct sites (fractional):
Hf1 0.0000 0.0977 0.2500 [4 per cell]  6 B 2.57-2.59, 4 Ir 2.76
B1 0.0000 0.4678 0.2500 [4 per cell]  2 B 1.81
Ir1 0.0000 0.3056 0.2500 [4 per cell]  1 B 2.32


Entry B
A relaxed structure of HfBIr. Source: the Alexandria database, functional PBE-GGA.

Properties
**Total magnetization**: 0.0 Bohr magnetons per cell

Cell lengths 3.9728, 3.9728, 3.1105 Å; angles 90.00, 90.00, 120.00 degrees
Last column: nearest neighbours and their distance in Å.
Space group P-6m2 (No. 187)
Symmetry-distinct sites (fractional):
Hf1 0.0000 0.0000 0.0000 [1 per cell]  6 B 2.77, 6 Ir 2.77
B1 0.3333 0.6667 0.5000 [1 per cell]  3 Ir 2.29
Ir1 0.6667 0.3333 0.5000 [1 per cell]  3 B 2.29


Which of them is most stable? Easy: entry A.


Entry A
A relaxed structure of HfB3Ir. Source: the Alexandria database, functional PBE-GGA.

Properties
**Total magnetization**: 0.0 Bohr magnetons per cell

Cell lengths 4.1712, 4.1712, 4.1712 Å; angles 90.00, 90.00, 90.00 degrees
Last column: nearest neighbours and their distance in Å.
Space group Pm-3m (No. 221)
Symmetry-distinct sites (fractional):
Hf1 0.0000 0.0000 0.0000 [1 per cell]  6 B 2.09
B1 0.0000 0.0000 0.5000 [3 per cell]  2 Hf 2.09
Ir1 0.5000 0.5000 0.5000 [1 per cell]  12 B 2.95


Entry B
A relaxed structure of HfB3Ir. Source: the Alexandria database, functional PBE-GGA.

Properties
**Total magnetization**: 0.0 Bohr magnetons per cell

Cell lengths 4.0516, 4.0516, 4.0516 Å; angles 90.00, 90.00, 90.00 degrees
Last column: nearest neighbours and their distance in Å.
Space group Pm-3m (No. 221)
Symmetry-distinct sites (fractional):
Hf1 0.0000 0.0000 0.0000 [1 per cell]  12 B 2.86
B1 0.0000 0.5000 0.5000 [3 per cell]  2 Ir 2.03
Ir1 0.5000 0.5000 0.5000 [1 per cell]  6 B 2.03


Which of them is most stable? Easy: entry B.


Entry A
A relaxed structure of NaHf2BIr. Source: the Alexandria database, functional PBE-GGA.

Properties
**Total magnetization**: 0.6 Bohr magnetons per cell

Cell lengths 4.9470, 4.9470, 5.1296 Å; angles 90.00, 90.00, 90.00 degrees
Last column: nearest neighbours and their distance in Å.
Space group P4/mmm (No. 123)
Symmetry-distinct sites (fractional):
Na1 0.0000 0.0000 0.0000 [1 per cell]  2 Ir 2.56
Hf1 0.0000 0.5000 0.5000 [2 per cell]  2 Ir 2.47
B1 0.5000 0.5000 0.0000 [1 per cell]  4 Na 3.50, 8 Hf 3.56
Ir1 0.0000 0.0000 0.5000 [1 per cell]  4 Hf 2.47, 2 Na 2.56


Entry B
A relaxed structure of NaHf2BIr. Source: the Alexandria database, functional PBE-GGA.

Properties
**Total magnetization**: 0.0 Bohr magnetons per cell

Cell lengths 5.1453, 5.1453, 4.1054 Å; angles 90.00, 90.00, 90.00 degrees
Last column: nearest neighbours and their distance in Å.
Space group P4/mmm (No. 123)
Symmetry-distinct sites (fractional):
Na1 0.0000 0.0000 0.0000 [1 per cell]  8 Hf 3.29, 4 B 3.64
Hf1 0.0000 0.5000 0.5000 [2 per cell]  2 Ir 2.57
B1 0.5000 0.5000 0.0000 [1 per cell]  2 Ir 2.05
Ir1 0.5000 0.5000 0.5000 [1 per cell]  2 B 2.05


Which of them is most stable? Easy: entry B.


Entry A
A relaxed structure of HfBIrOs2. Source: the Alexandria database, functional PBE-GGA.

Properties
**Total magnetization**: 0.0 Bohr magnetons per cell

Cell lengths 4.1582, 4.1582, 4.1108 Å; angles 90.00, 90.00, 90.00 degrees
Last column: nearest neighbours and their distance in Å.
Space group P4/mmm (No. 123)
Symmetry-distinct sites (fractional):
Hf1 0.0000 0.0000 0.0000 [1 per cell]  8 Os 2.92, 4 Ir 2.94
B1 0.5000 0.5000 0.5000 [1 per cell]  2 Ir 2.06, 4 Os 2.08
Ir1 0.5000 0.5000 0.0000 [1 per cell]  2 B 2.06
Os1 0.0000 0.5000 0.5000 [2 per cell]  2 B 2.08


Entry B
A relaxed structure of HfBIrOs2. Source: the Alexandria database, functional PBE-GGA.

Properties
**Total magnetization**: 1.5 Bohr magnetons per cell

Cell lengths 4.7777, 4.7777, 4.1494 Å; angles 90.00, 90.00, 90.00 degrees
Last column: nearest neighbours and their distance in Å.
Space group P4/mmm (No. 123)
Symmetry-distinct sites (fractional):
Hf1 0.0000 0.0000 0.0000 [1 per cell]  2 B 2.07
B1 0.0000 0.0000 0.5000 [1 per cell]  2 Hf 2.07
Ir1 0.5000 0.5000 0.5000 [1 per cell]  8 Os 3.16, 4 B 3.38
Os1 0.0000 0.5000 0.0000 [2 per cell]  2 Hf 2.39


Which of them is most stable? Easy: entry A.